Entry 1:
Below is a relaxed structure of ReW5S12, with properties calculated at the PBE level.

Cell lengths 5.511, 10.193, 13.476 Å; angles 90.00, 90.07, 90.00 degrees
Space group C2/m (No. 12)
Unique sites:
Re 0.000 0.000 0.000 x2
W 0.000 0.134 0.500 x4
W 0.000 0.367 0.000 x4
W 0.000 0.500 0.500 x2
S 0.161 0.175 0.104 x8
S 0.162 0.327 0.393 x8
S 0.169 0.000 0.374 x4
S 0.174 0.500 0.126 x4

---

Entry 2:
Below is a relaxed structure of ReW3S, with properties calculated at the PBE level.

Cell lengths 4.780, 4.780, 4.780 Å; angles 90.00, 90.00, 90.00 degrees
Space group Pm-3m (No. 221)
Unique sites:
Re 0.000 0.000 0.000 x1
W 0.000 0.000 0.500 x3
S 0.500 0.500 0.500 x1

---

Entry 3:
Below is a relaxed structure of ReW3S, with properties calculated at the PBE level.

Cell lengths 4.368, 4.368, 4.368 Å; angles 90.00, 90.00, 90.00 degrees
Space group Pm-3m (No. 221)
Unique sites:
Re 0.000 0.000 0.000 x1
W 0.000 0.500 0.500 x3
S 0.500 0.500 0.500 x1

---

Calculated formation energy from raw total energies, -0.567; 2.315; 1.048 eV/atom (same order as the records).